Entry 1:
This record from Alexandria describes crystalline SrRuI2O at its relaxed geometry. The functional is GGA-PBE.

Lattice parameters (Å, degrees): 5.752 5.752 3.856 90.00 90.00 90.00
Fractional positions:
1 I 0.000 0.500 0.000
2 I 0.500 0.000 0.000
3 Ru 0.000 0.000 0.000
4 O 0.000 0.000 0.500
5 Sr 0.500 0.500 0.500

energy	-4.5586	eV/atom
crystal system	tetragonal
symmetry	No. 123
total magnetization	0.00	μB per formula unit
distance to the lowest polymorph of the same formula	0.0	meV/atom
formation energy from raw total energies	-0.755	eV/atom

Entry 2:
This record from Alexandria describes crystalline SrGa2H8 at its relaxed geometry. The functional is GGA-PBE.

Lattice parameters (Å, degrees): 6.579 4.981 4.981 59.64 68.11 68.11
Fractional positions:
1 Sr 0.000 0.000 0.000
2 Ga 0.688 0.773 0.773
3 Ga 0.312 0.227 0.227
4 H 0.209 0.434 0.916
5 H 0.791 0.084 0.566
6 H 0.423 0.858 0.858
7 H 0.577 0.142 0.142
8 H 0.209 0.916 0.434
9 H 0.791 0.566 0.084
10 H 0.793 0.567 0.567
11 H 0.207 0.433 0.433

energy	-3.2818	eV/atom
crystal system	monoclinic
symmetry	No. 12
total magnetization	0.00	μB per formula unit

Entry 3:
This record from Alexandria describes crystalline SmDy4Y6 at its relaxed geometry. The functional is GGA-PBE.

Lattice parameters (Å, degrees): 5.716 5.619 25.780 90.00 90.00 120.58
Fractional positions:
1 Sm 0.819 0.639 0.250
2 Sm 0.181 0.361 0.750
3 Dy 0.841 0.681 0.542
4 Dy 0.476 0.953 0.121
5 Dy 0.159 0.319 0.458
6 Dy 0.524 0.047 0.879
7 Dy 0.841 0.681 0.958
8 Dy 0.159 0.319 0.042
9 Dy 0.524 0.047 0.621
10 Dy 0.476 0.953 0.379
11 Y 0.500 0.000 0.000
12 Y 0.500 0.000 0.500
13 Y 0.148 0.297 0.319
14 Y 0.852 0.703 0.681
15 Y 0.852 0.703 0.819
16 Y 0.148 0.297 0.181
17 Y 0.815 0.629 0.397
18 Y 0.185 0.371 0.603
19 Y 0.185 0.371 0.897
20 Y 0.815 0.629 0.103
21 Y 0.485 0.971 0.250
22 Y 0.515 0.029 0.750

energy	-5.5089	eV/atom
crystal system	orthorhombic
ΔH_f (0 K)	127	kJ/mol of formula units
symmetry	No. 63
total magnetization	0.00	μB per formula unit
distance to the lowest polymorph of the same formula	0.0	meV/atom

Entry 4:
This record from Alexandria describes crystalline Tm3Si2Ni9 at its relaxed geometry. The functional is GGA-PBE.

Lattice parameters (Å, degrees): 3.882 7.563 7.563 72.93 75.13 75.13
Fractional positions:
1 Tm 0.000 0.000 0.000
2 Tm 0.689 0.311 0.311
3 Tm 0.311 0.689 0.689
4 Si 0.500 0.270 0.730
5 Si 0.500 0.730 0.270
6 Ni 0.000 0.500 0.500
7 Ni 0.676 0.965 0.682
8 Ni 0.324 0.035 0.318
9 Ni 0.676 0.682 0.965
10 Ni 0.324 0.318 0.035
11 Ni 0.886 0.835 0.393
12 Ni 0.114 0.165 0.607
13 Ni 0.886 0.393 0.835
14 Ni 0.114 0.607 0.165

energy	-5.9380	eV/atom
crystal system	orthorhombic
symmetry	No. 71
total magnetization	0.00	μB per formula unit
formation energy from raw total energies	-0.489	eV/atom

Entry 5:
This record from Alexandria describes crystalline Li2Dy2ThPb2 at its relaxed geometry. The functional is GGA-PBE.

Lattice parameters (Å, degrees): 4.890 4.890 9.368 74.87 74.87 60.00
Fractional positions:
1 Li 0.590 0.590 0.231
2 Li 0.410 0.410 0.769
3 Dy 0.129 0.129 0.612
4 Dy 0.871 0.871 0.388
5 Th 0.000 0.000 0.000
6 Pb 0.738 0.738 0.787
7 Pb 0.262 0.262 0.213

energy	-4.2111	eV/atom
crystal system	trigonal
ΔH_f (0 K)	-155	kJ/mol of formula units
symmetry	No. 166
total magnetization	0.00	μB per formula unit

Entry 6:
This record from Alexandria describes crystalline TaMn2Br at its relaxed geometry. The functional is GGA-PBE.

Lattice parameters (Å, degrees): 3.062 3.062 8.161 90.00 90.00 109.76
Site moments in Bohr magnetons follow the coordinates.
Fractional positions:
1 Br 0.500 0.500 0.750  0.11
2 Mn 0.000 0.000 0.010  3.45
3 Mn 0.000 0.000 0.490  3.45
4 Ta 0.500 0.500 0.250  -0.57

energy	-7.6234	eV/atom
crystal system	orthorhombic
symmetry	No. 65
total magnetization	6.62	μB per formula unit
distance to the lowest polymorph of the same formula	132.8	meV/atom
formation energy from raw total energies	0.343	eV/atom

Entry 7:
This record from Alexandria describes crystalline Sr2CeAs3Pt4 at its relaxed geometry. The functional is GGA-PBE.

Lattice parameters (Å, degrees): 4.387 4.387 11.487 90.00 90.00 90.00
Site moments in Bohr magnetons follow the coordinates.
Fractional positions:
1 Sr 0.500 0.000 0.223  0.01
2 Sr 0.000 0.500 0.777  0.01
3 Ce 0.500 0.500 0.500  0.63
4 As 0.000 0.000 0.500  -0.01
5 As 0.500 0.000 0.881  0.00
6 As 0.000 0.500 0.119  0.00
7 Pt 0.500 0.500 0.000  0.01
8 Pt 0.000 0.000 0.000  -0.01
9 Pt 0.500 0.000 0.663  0.00
10 Pt 0.000 0.500 0.337  0.00

energy	-5.5746	eV/atom
crystal system	tetragonal
ΔH_f (0 K)	-804	kJ/mol of formula units
symmetry	No. 115
total magnetization	0.82	μB per formula unit

Entry 8:
This record from Alexandria describes crystalline Ba2TbDyS4 at its relaxed geometry. The functional is GGA-PBE.

Lattice parameters (Å, degrees): 4.130 7.131 7.525 108.52 90.00 90.00
Fractional positions:
1 Ba 0.500 0.000 0.500
2 Ba 0.000 0.500 0.500
3 Tb 0.000 0.000 0.000
4 Dy 0.500 0.500 0.000
5 S 0.500 0.238 0.209
6 S 0.500 0.762 0.791
7 S 0.000 0.265 0.791
8 S 0.000 0.735 0.209

energy	-5.7100	eV/atom
crystal system	monoclinic
symmetry	No. 10
total magnetization	0.00	μB per formula unit
formation energy from raw total energies	-2.012	eV/atom

Entry 9:
This record from Alexandria describes crystalline ZnAuSe2 at its relaxed geometry. The functional is GGA-PBE.

Lattice parameters (Å, degrees): 3.897 4.739 4.752 70.34 90.00 90.00
Fractional positions:
1 Au 0.500 0.750 0.750
2 Se 0.000 0.002 0.002
3 Se 0.000 0.498 0.498
4 Zn 0.500 0.250 0.250

energy	-2.9013	eV/atom
crystal system	monoclinic
symmetry	No. 10
total magnetization	0.00	μB per formula unit
formation energy from raw total energies	-0.021	eV/atom

Entry 10:
This record from Alexandria describes crystalline MnAlCu2C at its relaxed geometry. The functional is GGA-PBE.

Lattice parameters (Å, degrees): 4.595 3.612 4.595 90.00 90.00 90.00
Site moments in Bohr magnetons follow the coordinates.
Fractional positions:
1 C 0.000 0.500 0.000  -0.19
2 Mn 0.000 0.000 0.000  2.11
3 Al 0.500 0.500 0.500  0.00
4 Cu 0.000 0.000 0.500  0.12
5 Cu 0.500 0.000 0.000  0.05

energy	-5.0193	eV/atom
crystal system	tetragonal
ΔH_f (0 K)	505	kJ/mol of formula units
symmetry	No. 123
total magnetization	2.05	μB per formula unit

Entry 11:
This record from Alexandria describes crystalline La2HPd6Au at its relaxed geometry. The functional is GGA-PBE.

Lattice parameters (Å, degrees): 5.727 7.303 5.728 66.50 60.40 89.90
Fractional positions:
1 La 0.732 0.188 0.545
2 La 0.268 0.812 0.455
3 H 0.500 0.500 0.000
4 Pd 0.281 0.331 0.452
5 Pd 0.721 0.682 0.039
6 Pd 0.216 0.669 0.050
7 Pd 0.784 0.331 0.950
8 Pd 0.279 0.318 0.961
9 Pd 0.719 0.669 0.548
10 Au 0.000 0.000 0.000

energy	-5.3993	eV/atom
crystal system	monoclinic
symmetry	No. 12
total magnetization	0.00	μB per formula unit

Entry 12:
This record from Alexandria describes crystalline SiTeOF2 at its relaxed geometry. The functional is GGA-PBE.

Lattice parameters (Å, degrees): 4.691 4.691 3.326 90.00 90.00 90.00
Site moments in Bohr magnetons follow the coordinates.
Fractional positions:
1 Si 0.000 0.000 0.000  0.06
2 Te 0.500 0.500 0.500  0.88
3 O 0.000 0.000 0.500  0.05
4 F 0.000 0.500 0.000  0.13
5 F 0.500 0.000 0.000  0.13

energy	-4.4996	eV/atom
crystal system	tetragonal
symmetry	No. 123
total magnetization	1.88	μB per formula unit
distance to the lowest polymorph of the same formula	0.0	meV/atom
formation energy from raw total energies	-1.046	eV/atom